First-principles (PBE-GGA) data for a relaxed CdMo2Se crystal, as listed in the Alexandria database.

The structure in POSCAR format:
```
CdMo2Se
1.0
2.822 -4.481 0.000
2.822 4.481 0.000
-0.935 0.000 2.762
Cd Mo Se
1 2 1
direct
0.000 0.000 0.000 Cd
0.000 0.500 0.500 Mo
0.500 0.000 0.500 Mo
0.500 0.500 0.000 Se
```

ΔE_f (raw) (meV per atom): 651.6
DOS at the Fermi energy (states/eV/f.u.): 3.91
Energy above the most stable polymorph in this dataset (eV per atom): 0.5056